Record 1
{"formula": "Li2Cu6Rh", "functional": "PBE", "state": "optimized geometry", "total_magnetization_mub_per_cell": 0.0, "relative_energy_ev_per_atom": 0.000, "final_energy_ev_per_cell": -72.47, "lattice_angstrom": [[-1.440, 0.289, 3.423], [2.710, -7.004, 1.730], [6.572, 3.159, 2.497]], "species": ["Cu", "Cu", "Cu", "Cu", "Cu", "Cu", "Cu", "Cu", "Cu", "Cu", "Cu", "Cu", "Li", "Li", "Li", "Li", "Rh", "Rh"], "fractional_positions": [[0.000, 0.993, 0.163], [0.500, 0.163, 0.007], [0.000, 0.671, 0.829], [0.000, 0.337, 0.507], [0.000, 0.663, 0.493], [0.500, 0.837, 0.993], [0.500, 0.829, 0.329], [0.000, 0.007, 0.837], [0.500, 0.493, 0.337], [0.500, 0.507, 0.663], [0.000, 0.329, 0.171], [0.500, 0.171, 0.671], [0.000, 0.338, 0.838], [0.000, 0.662, 0.162], [0.500, 0.838, 0.662], [0.500, 0.162, 0.338], [0.500, 0.500, 0.000], [0.000, 0.000, 0.500]]}

Record 2
{"formula": "Li12Cu2Rh", "functional": "PBE", "state": "optimized geometry", "total_magnetization_mub_per_cell": 0.3, "final_energy_ev_per_cell": -75.79, "lattice_angstrom": [[5.295, 1.564, 0.000], [1.564, 5.295, 0.000], [0.000, 0.000, 18.466]], "species": ["Li", "Li", "Li", "Li", "Li", "Li", "Li", "Li", "Li", "Li", "Li", "Li", "Li", "Li", "Li", "Li", "Li", "Li", "Li", "Li", "Li", "Li", "Li", "Li", "Cu", "Cu", "Cu", "Cu", "Rh", "Rh"], "fractional_positions": [[0.250, 0.250, 0.373], [0.500, 0.500, 0.220], [0.000, 0.000, 0.220], [0.250, 0.250, 0.875], [0.250, 0.250, 0.125], [0.250, 0.750, 0.933], [0.250, 0.750, 0.067], [0.250, 0.250, 0.627], [0.750, 0.750, 0.627], [0.000, 0.000, 0.780], [0.500, 0.500, 0.643], [0.750, 0.250, 0.933], [0.500, 0.500, 0.780], [0.750, 0.750, 0.875], [0.500, 0.500, 0.357], [0.628, 0.128, 0.500], [0.000, 0.000, 0.643], [0.750, 0.750, 0.125], [0.000, 0.000, 0.357], [0.750, 0.250, 0.067], [0.372, 0.872, 0.500], [0.750, 0.750, 0.373], [0.128, 0.628, 0.500], [0.872, 0.372, 0.500], [0.000, 0.500, 0.746], [0.000, 0.500, 0.254], [0.500, 0.000, 0.746], [0.500, 0.000, 0.254], [0.500, 0.000, 0.000], [0.000, 0.500, 0.000]]}